Arrangement 1

The following is a GGA-PBE calculation of a geometry-optimized HfZn2Ru2 structure, from Alexandria via LeMat-Bulk.

Structure (POSCAR):
```
HfZn2Ru2
1.0
-3.6571 -1.6410 -5.6477
-4.5320 -3.4524 3.9377
-1.7241 2.6564 0.3446
Hf Zn Ru
2 4 4
direct
0.0000 0.0000 0.0000
0.5000 0.5000 0.0000
0.1216 0.3784 0.0000
0.6216 0.1216 0.0000
0.3784 0.8784 0.0000
0.8784 0.6216 0.0000
0.3225 0.1775 0.5000
0.6775 0.8225 0.5000
0.8225 0.3225 0.5000
0.1775 0.6775 0.5000
```

Calculated values
total magnetic moment: 0.00 μB/cell
Fermi-level density of states: 0.709 states/eV/f.u.

Arrangement 2

The following is a GGA-PBE calculation of a geometry-optimized HfZn2Ru2 structure, from Alexandria via LeMat-Bulk.

Structure (POSCAR):
```
HfZn2Ru2
1.0
-3.3001 -0.4858 -0.8110
0.5899 -3.3594 -0.3880
-2.8265 -2.9432 5.9996
Ru Zn Hf
2 2 1
direct
0.3961 0.3961 0.2077
0.6039 0.6039 0.7923
0.7500 0.2500 0.5000
0.2500 0.7500 0.5000
0.0000 0.0000 0.0000
```

Calculated values
total magnetic moment: 0.00 μB/cell
Fermi-level density of states: 5.115 states/eV/f.u.

Arrangement 3

The following is a GGA-PBE calculation of a geometry-optimized HfZn2Ru2 structure, from Alexandria via LeMat-Bulk.

Structure (POSCAR):
```
HfZn2Ru2
1.0
-1.5516 -4.8487 4.8471
4.8534 -4.2869 -2.7347
2.1914 1.2413 1.9432
Zn Ru Hf
4 4 2
direct
0.8419 0.3419 0.5000
0.6581 0.8419 0.5000
0.1581 0.6581 0.5000
0.3419 0.1581 0.5000
0.6385 0.1385 0.0000
0.3615 0.8615 0.0000
0.8615 0.6385 0.0000
0.1385 0.3615 0.0000
0.5000 0.5000 0.0000
0.0000 0.0000 0.0000
```

Calculated values
total magnetic moment: 0.00 μB/cell
Fermi-level density of states: 4.544 states/eV/f.u.

Top of the stability list: arrangement 1, leading by 116 meV/atom.

Arrangement 1

The following is a GGA-PBE calculation of a geometry-optimized HfZr2Ru2 structure, from Alexandria via LeMat-Bulk.

Structure (POSCAR):
```
HfZr2Ru2
1.0
3.1557 0.0000 0.0000
0.0000 3.1282 0.5927
0.0000 -0.2458 9.8484
Ru Zr Hf
2 2 1
direct
0.5000 0.4149 0.1701
0.5000 0.5851 0.8299
0.0000 0.8283 0.3434
0.0000 0.1717 0.6566
0.0000 0.0000 0.0000
```

Calculated values
total magnetic moment: 0.00 μB/cell
Fermi-level density of states: 3.921 states/eV/f.u.

Arrangement 2

The following is a GGA-PBE calculation of a geometry-optimized HfZr2Ru2 structure, from Alexandria via LeMat-Bulk.

Structure (POSCAR):
```
HfZr2Ru2
1.0
-4.8018 0.4140 -5.7743
-0.5289 -7.5022 -0.0981
-2.5892 0.1542 2.1642
Zr Ru Hf
4 4 2
direct
0.1611 0.6611 0.5000
0.6611 0.8389 0.5000
0.8389 0.3389 0.5000
0.3389 0.1611 0.5000
0.6411 0.1411 0.0000
0.3589 0.8589 0.0000
0.1411 0.3589 0.0000
0.8589 0.6411 0.0000
0.0000 0.0000 0.0000
0.5000 0.5000 0.0000
```

Calculated values
total magnetic moment: 0.00 μB/cell
Fermi-level density of states: 5.681 states/eV/f.u.

Top of the stability list: arrangement 1, leading by 98 meV/atom.

Arrangement 1

The following is a GGA-PBE calculation of a geometry-optimized HfZr2Ru structure, from Alexandria via LeMat-Bulk.

Structure (POSCAR):
```
HfZr2Ru
1.0
7.7527 0.0000 0.0000
0.0000 7.7527 0.0000
3.8763 3.8763 2.8843
Zr Hf Ru
4 2 2
direct
0.1755 0.6250 0.2500
0.8750 0.8245 0.7500
0.3750 0.4255 0.7500
0.5745 0.1250 0.2500
0.7500 0.2500 0.5000
0.0000 0.0000 0.0000
0.2500 0.7500 0.5000
0.5000 0.5000 0.0000
```

Calculated values
total magnetic moment: 0.00 μB/cell
Fermi-level density of states: 2.535 states/eV/f.u.

Arrangement 2

The following is a GGA-PBE calculation of a geometry-optimized HfZr2Ru structure, from Alexandria via LeMat-Bulk.

Structure (POSCAR):
```
HfZr2Ru
1.0
-3.5333 -3.8533 2.4376
4.8794 -3.6183 1.3531
0.9349 4.3231 8.1888
Zr Ru Hf
8 4 4
direct
0.1324 0.7077 0.4478
0.1324 0.7077 0.0522
0.3676 0.2077 0.4478
0.8676 0.2923 0.9478
0.8676 0.2923 0.5522
0.3676 0.2077 0.0522
0.6324 0.7923 0.9478
0.6324 0.7923 0.5522
0.1092 0.3907 0.2500
0.3908 0.8907 0.2500
0.6092 0.1093 0.7500
0.8908 0.6093 0.7500
0.1730 0.9620 0.7500
0.6730 0.5380 0.2500
0.3270 0.4620 0.7500
0.8270 0.0380 0.2500
```

Calculated values
total magnetic moment: 0.00 μB/cell
Fermi-level density of states: 4.341 states/eV/f.u.

Top of the stability list: arrangement 2, leading by 333 meV/atom.

Arrangement 1

The following is a GGA-PBE calculation of a geometry-optimized Hf3ZrRu structure, from Alexandria via LeMat-Bulk.

Structure (POSCAR):
```
Hf3ZrRu
1.0
4.9546 0.0000 0.0000
0.0000 4.9546 0.0000
0.0000 0.0000 4.9546
Hf Ru Zr
3 1 1
direct
0.0000 0.5000 0.0000
0.5000 0.0000 0.0000
0.0000 0.0000 0.5000
0.5000 0.5000 0.5000
0.0000 0.0000 0.0000
```

Calculated values
total magnetic moment: 0.00 μB/cell
Fermi-level density of states: 5.059 states/eV/f.u.

Arrangement 2

The following is a GGA-PBE calculation of a geometry-optimized Hf3ZrRu structure, from Alexandria via LeMat-Bulk.

Structure (POSCAR):
```
Hf3ZrRu
1.0
-0.6030 -0.3270 -4.9019
4.7198 -1.4091 -0.4866
-1.3634 -4.7335 0.4835
Hf Zr Ru
3 1 1
direct
0.0000 0.0000 0.5000
0.0000 0.5000 0.0000
0.5000 0.0000 0.0000
0.5000 0.5000 0.5000
0.0000 0.0000 0.0000
```

Calculated values
total magnetic moment: 0.00 μB/cell
Fermi-level density of states: 5.248 states/eV/f.u.

Top of the stability list: arrangement 2, leading by 1260 meV/atom.